Below is a PBEsol-optimized structure of ZnSiRh2, with properties calculated at the SCAN level.

## Properties
Energy relative to the elements, uncorrected ... -0.735 eV/atom
Relative energy among the computed polymorphs ... 38.9 meV per atom
Electronic total energy ... -23.504 eV per atom
Total moment ... 0.0000 μB per atom

Unit cell a=5.8727 b=5.8727 c=5.8727 alpha=90.00 beta=90.00 gamma=90.00
Last column: nearest neighbours and their distance in Å.
Space group Fm-3m (No. 225)
Asymmetric unit:
Zn 0.0000 0.0000 0.0000 [4 per cell]  8 Rh 2.54
Si 0.0000 0.0000 0.5000 [4 per cell]  8 Rh 2.54
Rh 0.2500 0.2500 0.2500 [8 per cell]  4 Si 2.54, 4 Zn 2.54

---

Below is a PBEsol-optimized structure of Si3Cl8O2, with properties calculated at the SCAN level.

## Properties
Energy relative to the elements, uncorrected ... -1.736 eV/atom
Electronic total energy ... -9.915 eV per atom
Total moment ... 0.0000 μB per atom

Unit cell a=11.0375 b=21.1258 c=6.3484 alpha=90.00 beta=90.00 gamma=90.00
Last column: nearest neighbours and their distance in Å.
Space group Pnma (No. 62)
Asymmetric unit:
Si 0.0909 0.1160 0.1179 [8 per cell]  1 O 1.62
Si 0.1997 0.2500 0.0294 [4 per cell]  2 O 1.62
Cl 0.0702 0.0811 0.4122 [8 per cell]  1 Si 2.02
Cl 0.0698 0.6137 0.0355 [8 per cell]  1 Si 2.02
Cl 0.1205 0.7500 0.5885 [4 per cell]  1 Si 2.02
Cl 0.1707 0.2500 0.7145 [4 per cell]  1 Si 2.02
Cl 0.2135 0.0630 0.9586 [8 per cell]  1 Si 2.03
O 0.1380 0.1884 0.1378 [8 per cell]  2 Si 1.62

---

Copy entry 2 word for word.
Below is a PBEsol-optimized structure of Si3Cl8O2, with properties calculated at the SCAN level.

## Properties
Energy relative to the elements, uncorrected ... -1.736 eV/atom
Electronic total energy ... -9.915 eV per atom
Total moment ... 0.0000 μB per atom

Unit cell a=11.0375 b=21.1258 c=6.3484 alpha=90.00 beta=90.00 gamma=90.00
Last column: nearest neighbours and their distance in Å.
Space group Pnma (No. 62)
Asymmetric unit:
Si 0.0909 0.1160 0.1179 [8 per cell]  1 O 1.62
Si 0.1997 0.2500 0.0294 [4 per cell]  2 O 1.62
Cl 0.0702 0.0811 0.4122 [8 per cell]  1 Si 2.02
Cl 0.0698 0.6137 0.0355 [8 per cell]  1 Si 2.02
Cl 0.1205 0.7500 0.5885 [4 per cell]  1 Si 2.02
Cl 0.1707 0.2500 0.7145 [4 per cell]  1 Si 2.02
Cl 0.2135 0.0630 0.9586 [8 per cell]  1 Si 2.03
O 0.1380 0.1884 0.1378 [8 per cell]  2 Si 1.62

---

- What is the formula in the first record?
  ZnSiRh2

---

- Which formula does entry 1 have?
  ZnSiRh2